1.
The following is a GGA-PBE calculation of an optimized crystal structure of CsSr2Cd2, from Alexandria via LeMat-Bulk.

Structure (CIF):
```
data_CsSr2Cd2
_chemical_formula_sum 'Cs1 Sr2 Cd2'
_cell_length_a 7.9180
_cell_length_b 7.9180
_cell_length_c 7.9180
_cell_angle_alpha 132.92
_cell_angle_beta 132.92
_cell_angle_gamma 68.78
_symmetry_space_group_name_H-M 'P 1'
_symmetry_Int_Tables_number 1
loop_
_symmetry_equiv_pos_as_xyz
'x,y,z'
loop_
_atom_site_label
_atom_site_fract_x
_atom_site_fract_y
_atom_site_fract_z
Cs1 0.0000 0.0000 0.0000
Sr1 0.3388 0.3388 0.0000
Sr2 0.6612 0.6612 0.0000
Cd1 0.2500 0.7500 0.5000
Cd2 0.7500 0.2500 0.5000
```

The formation energy from the elements comes out at 0.031 eV per atom. The space-group type is I4/mmm. Its crystal system is tetragonal. For the relative energy among the computed polymorphs, the calculation gives 139 meV/atom.

2.
The following is a GGA-PBE calculation of an optimized crystal structure of ScHgSbTe2, from Alexandria via LeMat-Bulk.

Structure (CIF):
```
data_ScHgSbTe2
_chemical_formula_sum 'Sc1 Hg1 Sb1 Te2'
_cell_length_a 5.5447
_cell_length_b 5.5447
_cell_length_c 5.4952
_cell_angle_alpha 90.00
_cell_angle_beta 90.00
_cell_angle_gamma 90.00
_symmetry_space_group_name_H-M 'P 1'
_symmetry_Int_Tables_number 1
loop_
_symmetry_equiv_pos_as_xyz
'x,y,z'
loop_
_atom_site_label
_atom_site_fract_x
_atom_site_fract_y
_atom_site_fract_z
Sc1 0.0000 0.0000 0.0000
Hg1 0.5000 0.5000 0.5000
Sb1 0.5000 0.5000 0.0000
Te1 0.0000 0.5000 0.5000
Te2 0.5000 0.0000 0.5000
```

The space-group type is P4/mmm. Its crystal system is tetragonal. For the relative energy among the computed polymorphs, the calculation gives 576 meV/atom.

3.
The following is a GGA-PBE calculation of an optimized crystal structure of CsTl2Cd2, from Alexandria via LeMat-Bulk.

Structure (CIF):
```
data_CsTl2Cd2
_chemical_formula_sum 'Cs2 Tl4 Cd4'
_cell_length_a 10.7178
_cell_length_b 10.7178
_cell_length_c 10.7178
_cell_angle_alpha 125.80
_cell_angle_beta 59.14
_cell_angle_gamma 158.13
_symmetry_space_group_name_H-M 'P 1'
_symmetry_Int_Tables_number 1
loop_
_symmetry_equiv_pos_as_xyz
'x,y,z'
loop_
_atom_site_label
_atom_site_fract_x
_atom_site_fract_y
_atom_site_fract_z
Cs1 0.4940 0.2440 0.2500
Cs2 0.5060 0.7560 0.7500
Tl1 0.3307 0.0000 0.8307
Tl2 0.3307 0.5000 0.3307
Tl3 0.6693 0.0000 0.1693
Tl4 0.6693 0.5000 0.6693
Cd1 0.1882 0.2503 0.9379
Cd2 0.1876 0.7497 0.4379
Cd3 0.8124 0.2503 0.5621
Cd4 0.8118 0.7497 0.0621
```

The formation energy from the elements comes out at -0.026 eV per atom. The space-group type is Imma. Its crystal system is orthorhombic. For the relative energy among the computed polymorphs, the calculation gives 34 meV/atom.

4.
The following is a GGA-PBE calculation of an optimized crystal structure of HgBrO2, from Alexandria via LeMat-Bulk.

Structure (CIF):
```
data_HgBrO2
_chemical_formula_sum 'Hg1 Br1 O2'
_cell_length_a 7.2296
_cell_length_b 7.2296
_cell_length_c 7.2296
_cell_angle_alpha 27.38
_cell_angle_beta 27.38
_cell_angle_gamma 27.38
_symmetry_space_group_name_H-M 'P 1'
_symmetry_Int_Tables_number 1
loop_
_symmetry_equiv_pos_as_xyz
'x,y,z'
loop_
_atom_site_label
_atom_site_fract_x
_atom_site_fract_y
_atom_site_fract_z
Hg1 0.0000 0.0000 0.0000
Br1 0.5000 0.5000 0.5000
O1 0.1227 0.1227 0.1227
O2 0.8773 0.8773 0.8773
```

The space-group type is R-3m. Its crystal system is trigonal. For the relative energy among the computed polymorphs, the calculation gives 606 meV/atom.

5.
The following is a GGA-PBE calculation of an optimized crystal structure of K6IrF12, from Alexandria via LeMat-Bulk.

Structure (CIF):
```
data_K6IrF12
_chemical_formula_sum 'K6 Ir1 F12'
_cell_length_a 7.5959
_cell_length_b 7.5959
_cell_length_c 7.5959
_cell_angle_alpha 99.29
_cell_angle_beta 99.29
_cell_angle_gamma 99.29
_symmetry_space_group_name_H-M 'P 1'
_symmetry_Int_Tables_number 1
loop_
_symmetry_equiv_pos_as_xyz
'x,y,z'
loop_
_atom_site_label
_atom_site_fract_x
_atom_site_fract_y
_atom_site_fract_z
K1 0.0969 0.6531 0.8371
K2 0.1629 0.9031 0.3469
K3 0.3469 0.1629 0.9031
K4 0.6531 0.8371 0.0969
K5 0.8371 0.0969 0.6531
K6 0.9031 0.3469 0.1629
Ir1 0.5000 0.5000 0.5000
F1 0.0827 0.3311 0.8971
F2 0.1029 0.9173 0.6689
F3 0.2539 0.5237 0.4195
F4 0.3311 0.8971 0.0827
F5 0.4195 0.2539 0.5237
F6 0.4763 0.5805 0.7461
F7 0.5237 0.4195 0.2539
F8 0.5805 0.7461 0.4763
F9 0.6689 0.1029 0.9173
F10 0.7461 0.4763 0.5805
F11 0.8971 0.0827 0.3311
F12 0.9173 0.6689 0.1029
```

The space-group type is R-3. Its crystal system is trigonal.

6.
The following is a GGA-PBE calculation of an optimized crystal structure of LaPr12Nd5, from Alexandria via LeMat-Bulk.

Structure (CIF):
```
data_LaPr12Nd5
_chemical_formula_sum 'La1 Pr12 Nd5'
_cell_length_a 11.1277
_cell_length_b 11.1277
_cell_length_c 5.2486
_cell_angle_alpha 90.00
_cell_angle_beta 90.00
_cell_angle_gamma 90.07
_symmetry_space_group_name_H-M 'P 1'
_symmetry_Int_Tables_number 1
loop_
_symmetry_equiv_pos_as_xyz
'x,y,z'
loop_
_atom_site_label
_atom_site_fract_x
_atom_site_fract_y
_atom_site_fract_z
La1 0.0000 0.0000 0.0000
Pr1 0.0003 0.3338 0.0000
Pr2 0.9997 0.6662 0.0000
Pr3 0.1671 0.8329 0.5000
Pr4 0.1676 0.4993 0.5000
Pr5 0.3338 0.0003 0.0000
Pr6 0.3340 0.6660 0.0000
Pr7 0.4993 0.1676 0.5000
Pr8 0.5007 0.8324 0.5000
Pr9 0.6662 0.9997 0.0000
Pr10 0.6660 0.3340 0.0000
Pr11 0.8324 0.5007 0.5000
Pr12 0.8329 0.1671 0.5000
Nd1 0.1671 0.1671 0.5000
Nd2 0.3330 0.3330 0.0000
Nd3 0.5000 0.5000 0.5000
Nd4 0.6670 0.6670 0.0000
Nd5 0.8329 0.8329 0.5000
```

The formation energy from the elements comes out at 0.011 eV per atom. The space-group type is Cmmm. Its crystal system is orthorhombic.

7.
The following is a GGA-PBE calculation of an optimized crystal structure of BaTlZn, from Alexandria via LeMat-Bulk.

Structure (CIF):
```
data_BaTlZn
_chemical_formula_sum 'Ba1 Tl1 Zn1'
_cell_length_a 5.1180
_cell_length_b 5.1180
_cell_length_c 4.2803
_cell_angle_alpha 90.00
_cell_angle_beta 90.00
_cell_angle_gamma 120.00
_symmetry_space_group_name_H-M 'P 1'
_symmetry_Int_Tables_number 1
loop_
_symmetry_equiv_pos_as_xyz
'x,y,z'
loop_
_atom_site_label
_atom_site_fract_x
_atom_site_fract_y
_atom_site_fract_z
Ba1 0.0000 0.0000 0.0000
Tl1 0.6667 0.3333 0.5000
Zn1 0.3333 0.6667 0.5000
```

The formation energy from the elements comes out at -0.265 eV per atom. The space-group type is P-6m2. Its crystal system is hexagonal. For the relative energy among the computed polymorphs, the calculation gives 0 meV/atom.

8.
The following is a GGA-PBE calculation of an optimized crystal structure of K2SiHgTe, from Alexandria via LeMat-Bulk.

Structure (CIF):
```
data_K2SiHgTe
_chemical_formula_sum 'K2 Si1 Hg1 Te1'
_cell_length_a 6.4448
_cell_length_b 6.4448
_cell_length_c 5.3096
_cell_angle_alpha 90.00
_cell_angle_beta 90.00
_cell_angle_gamma 90.00
_symmetry_space_group_name_H-M 'P 1'
_symmetry_Int_Tables_number 1
loop_
_symmetry_equiv_pos_as_xyz
'x,y,z'
loop_
_atom_site_label
_atom_site_fract_x
_atom_site_fract_y
_atom_site_fract_z
K1 0.0000 0.5000 0.0000
K2 0.5000 0.0000 0.0000
Si1 0.0000 0.0000 0.0000
Hg1 0.5000 0.5000 0.5000
Te1 0.0000 0.0000 0.5000
```

The space-group type is P4/mmm. Its crystal system is tetragonal.

9.
The following is a GGA-PBE calculation of an optimized crystal structure of CePm3O6, from Alexandria via LeMat-Bulk.

Structure (CIF):
```
data_CePm3O6
_chemical_formula_sum 'Ce2 Pm6 O12'
_cell_length_a 7.0015
_cell_length_b 7.0015
_cell_length_c 7.0015
_cell_angle_alpha 91.47
_cell_angle_beta 91.47
_cell_angle_gamma 91.47
_symmetry_space_group_name_H-M 'P 1'
_symmetry_Int_Tables_number 1
loop_
_symmetry_equiv_pos_as_xyz
'x,y,z'
loop_
_atom_site_label
_atom_site_fract_x
_atom_site_fract_y
_atom_site_fract_z
Ce1 0.0000 0.0000 0.0000
Ce2 0.5000 0.5000 0.5000
Pm1 0.0530 0.7512 0.5610
Pm2 0.2488 0.4390 0.9470
Pm3 0.4390 0.9470 0.2488
Pm4 0.5610 0.0530 0.7512
Pm5 0.7512 0.5610 0.0530
Pm6 0.9470 0.2488 0.4390
O1 0.0279 0.6820 0.8975
O2 0.1025 0.9721 0.3180
O3 0.1828 0.4327 0.5991
O4 0.3180 0.1025 0.9721
O5 0.4009 0.8172 0.5673
O6 0.4327 0.5991 0.1828
O7 0.5673 0.4009 0.8172
O8 0.5991 0.1828 0.4327
O9 0.6820 0.8975 0.0279
O10 0.8172 0.5673 0.4009
O11 0.8975 0.0279 0.6820
O12 0.9721 0.3180 0.1025
```

The space-group type is R-3. Its crystal system is trigonal. For the relative energy among the computed polymorphs, the calculation gives 0 meV/atom.

10.
The following is a GGA-PBE calculation of an optimized crystal structure of La8PPd3Br4, from Alexandria via LeMat-Bulk.

Structure (CIF):
```
data_La8PPd3Br4
_chemical_formula_sum 'La8 P1 Pd3 Br4'
_cell_length_a 9.0194
_cell_length_b 9.0194
_cell_length_c 9.0194
_cell_angle_alpha 56.60
_cell_angle_beta 56.60
_cell_angle_gamma 56.60
_symmetry_space_group_name_H-M 'P 1'
_symmetry_Int_Tables_number 1
loop_
_symmetry_equiv_pos_as_xyz
'x,y,z'
loop_
_atom_site_label
_atom_site_fract_x
_atom_site_fract_y
_atom_site_fract_z
La1 0.2355 0.2355 0.2355
La2 0.2442 0.7367 0.7367
La3 0.2633 0.2633 0.7558
La4 0.2633 0.7558 0.2633
La5 0.7367 0.2442 0.7367
La6 0.7367 0.7367 0.2442
La7 0.7558 0.2633 0.2633
La8 0.7645 0.7645 0.7645
P1 0.5000 0.5000 0.5000
Pd1 0.0000 0.0000 0.5000
Pd2 0.0000 0.5000 0.0000
Pd3 0.5000 0.0000 0.0000
Br1 0.0000 0.0000 0.0000
Br2 0.0000 0.5000 0.5000
Br3 0.5000 0.0000 0.5000
Br4 0.5000 0.5000 0.0000
```

The space-group type is R-3m. Its crystal system is trigonal.

11.
The following is a GGA-PBE calculation of an optimized crystal structure of ScInHg, from Alexandria via LeMat-Bulk.

Structure (CIF):
```
data_ScInHg
_chemical_formula_sum 'Sc2 In2 Hg2'
_cell_length_a 4.5118
_cell_length_b 5.4782
_cell_length_c 6.2624
_cell_angle_alpha 104.76
_cell_angle_beta 90.07
_cell_angle_gamma 114.23
_symmetry_space_group_name_H-M 'P 1'
_symmetry_Int_Tables_number 1
loop_
_symmetry_equiv_pos_as_xyz
'x,y,z'
loop_
_atom_site_label
_atom_site_fract_x
_atom_site_fract_y
_atom_site_fract_z
Sc1 0.0000 0.0000 0.0000
Sc2 0.3135 0.6279 0.6313
In1 0.3245 0.6489 0.1317
In2 0.6507 0.3018 0.3245
Hg1 0.6600 0.3200 0.8247
Hg2 0.9828 0.9664 0.5043
```

The formation energy from the elements comes out at -0.289 eV per atom. The space-group type is P1. Its crystal system is triclinic. For the relative energy among the computed polymorphs, the calculation gives 31 meV/atom.

12.
The following is a GGA-PBE calculation of an optimized crystal structure of LaSm3Sb3, from Alexandria via LeMat-Bulk.

Structure (CIF):
```
data_LaSm3Sb3
_chemical_formula_sum 'La4 Sm12 Sb12'
_cell_length_a 9.4779
_cell_length_b 9.4779
_cell_length_c 9.4779
_cell_angle_alpha 90.00
_cell_angle_beta 90.00
_cell_angle_gamma 90.00
_symmetry_space_group_name_H-M 'P 1'
_symmetry_Int_Tables_number 1
loop_
_symmetry_equiv_pos_as_xyz
'x,y,z'
loop_
_atom_site_label
_atom_site_fract_x
_atom_site_fract_y
_atom_site_fract_z
La1 0.0700 0.4300 0.5700
La2 0.4300 0.5700 0.0700
La3 0.5700 0.0700 0.4300
La4 0.9300 0.9300 0.9300
Sm1 0.0736 0.5736 0.9264
Sm2 0.1799 0.8201 0.3201
Sm3 0.1807 0.1807 0.1807
Sm4 0.3193 0.8193 0.6807
Sm5 0.3201 0.1799 0.8201
Sm6 0.4264 0.4264 0.4264
Sm7 0.5736 0.9264 0.0736
Sm8 0.6799 0.6799 0.6799
Sm9 0.6807 0.3193 0.8193
Sm10 0.8193 0.6807 0.3193
Sm11 0.8201 0.3201 0.1799
Sm12 0.9264 0.0736 0.5736
Sb1 0.0008 0.2548 0.8792
Sb2 0.1208 0.5008 0.2452
Sb3 0.2452 0.1208 0.5008
Sb4 0.2548 0.8792 0.0008
Sb5 0.3792 0.4992 0.7452
Sb6 0.4992 0.7452 0.3792
Sb7 0.5008 0.2452 0.1208
Sb8 0.6208 0.9992 0.7548
Sb9 0.7452 0.3792 0.4992
Sb10 0.7548 0.6208 0.9992
Sb11 0.8792 0.0008 0.2548
Sb12 0.9992 0.7548 0.6208
```

The space-group type is P2_13. Its crystal system is cubic. For the relative energy among the computed polymorphs, the calculation gives 0 meV/atom.

no.,theoretical density (g cm⁻³),electronic total energy (eV/atom)
1,3.386,-1.18
2,6.119,-2.91
3,6.878,-1.51
4,7.356,-2.37
5,2.596,-4.24
6,6.518,-4.77
7,6.962,-2.12
8,3.271,-2.24
9,6.500,-8.36
10,6.187,-5.36
11,8.832,-3.41
12,7.452,-5.56